Record 1
This record from the Alexandria database describes a relaxed structure of Cs3Li2AlMo4O16. The functional is PBE+U.

Structure (POSCAR):
```
Cs3Li2AlMo4O16
1.0
-6.286 6.286 6.241
6.286 -6.286 6.241
6.286 6.286 -6.241
Cs Li Al Mo O
6 4 2 8 32
direct
0.000 0.000 0.000 Cs
0.230 0.125 0.605 Cs
0.375 0.770 0.895 Cs
0.520 0.625 0.395 Cs
0.750 0.250 0.500 Cs
0.875 0.480 0.105 Cs
0.000 0.625 0.875 Li
0.375 0.250 0.375 Li
0.750 0.125 0.125 Li
0.875 0.000 0.625 Li
0.250 0.750 0.500 Al
0.500 0.500 0.000 Al
0.126 0.381 0.437 Mo
0.131 0.376 0.937 Mo
0.311 0.874 0.256 Mo
0.439 0.195 0.063 Mo
0.619 0.055 0.744 Mo
0.624 0.561 0.756 Mo
0.805 0.869 0.244 Mo
0.945 0.689 0.563 Mo
0.005 0.637 0.701 O
0.016 0.450 0.872 O
0.054 0.185 0.799 O
0.094 0.756 0.512 O
0.127 0.379 0.598 O
0.129 0.377 0.098 O
0.172 0.800 0.067 O
0.200 0.266 0.372 O
0.244 0.755 0.338 O
0.245 0.582 0.488 O
0.279 0.031 0.902 O
0.332 0.495 0.988 O
0.363 0.065 0.369 O
0.387 0.255 0.201 O
0.418 0.906 0.662 O
0.471 0.873 0.252 O
0.505 0.494 0.838 O
0.506 0.344 0.012 O
0.550 0.422 0.567 O
0.578 0.145 0.128 O
0.621 0.219 0.748 O
0.623 0.721 0.752 O
0.656 0.668 0.162 O
0.696 0.995 0.631 O
0.734 0.105 0.933 O
0.745 0.946 0.131 O
0.781 0.529 0.402 O
0.815 0.613 0.869 O
0.855 0.984 0.433 O
0.895 0.828 0.628 O
0.935 0.304 0.299 O
0.969 0.871 0.248 O
```

Calculated values
energy	-6.505	eV/atom



Record 2
This record from the Alexandria database describes a relaxed structure of SrCaSmFeO6. The functional is PBE+U.

Structure (POSCAR):
```
SrCaSmFeO6
1.0
0.000 4.013 4.013
4.013 0.000 4.013
4.013 4.013 0.000
Sr Ca Sm Fe O
1 1 1 1 6
direct
0.000 0.000 0.000 Sr
0.750 0.750 0.750 Ca
0.500 0.500 0.500 Sm
0.250 0.250 0.250 Fe
0.019 0.019 0.481 O
0.019 0.481 0.019 O
0.019 0.481 0.481 O
0.481 0.019 0.019 O
0.481 0.019 0.481 O
0.481 0.481 0.019 O
```

Calculated values
energy	-6.556	eV/atom